1.
CeGaSe2: optimized geometry, PBE.

Computed properties:
DFT total energy (eV per atom): -5.003
V (Å³ per cell): 420.9

abc: 4.2802 4.2802 26.5306
angles: 90.00 90.00 120.00
Element x y z (fractional)
Ce1 0.0000 0.6710 0.3333
Ce2 0.3290 0.3290 0.0000
Ce3 0.6710 0.0000 0.6667
Ga1 0.0000 0.6645 0.8333
Ga2 0.3355 0.3355 0.5000
Ga3 0.6645 0.0000 0.1667
Se1 0.0044 0.6667 0.7258
Se2 0.3333 0.3377 0.3925
Se3 0.3377 0.3333 0.6075
Se4 0.6623 0.9956 0.0592
Se5 0.6667 0.0044 0.2742
Se6 0.9956 0.6623 0.9408

***

2.
Cd3HgCl8: optimized geometry, PBE.

Computed properties:
DFT total energy (eV per atom): -2.441
V (Å³ per cell): 337.9

abc: 7.7620 7.7620 7.8342
angles: 119.56 119.56 60.79
Element x y z (fractional)
Cd1 0.0000 0.0000 0.0000
Cd2 0.0000 0.5000 0.5000
Cd3 0.5000 0.0000 0.5000
Hg1 0.5000 0.5000 0.0000
Cl1 0.2392 0.7470 0.7573
Cl2 0.2437 0.2437 0.2608
Cl3 0.2531 0.2531 0.7353
Cl4 0.2530 0.7608 0.2427
Cl5 0.7470 0.2392 0.7573
Cl6 0.7469 0.7469 0.2647
Cl7 0.7563 0.7563 0.7392
Cl8 0.7608 0.2530 0.2427

***

3.
SrInAu2: optimized geometry, PBE.

Computed properties:
DFT total energy (eV per atom): -3.230
V (Å³ per cell): 99.5
Calculated formation energy (eV/atom): -0.4859

abc: 3.7497 3.7794 7.0204
angles: 90.00 90.20 90.00
Element x y z (fractional)
Sr1 0.0000 0.0000 0.0000
In1 0.0000 0.0000 0.5000
Au1 0.4994 0.5000 0.7199
Au2 0.5006 0.5000 0.2801

***

4.
Ho5Re2O12: optimized geometry, PBE.

Computed properties:
DFT total energy (eV per atom): -8.574
V (Å³ per cell): 251.2

abc: 6.8194 6.8194 7.5223
angles: 106.24 106.24 48.99
Element x y z (fractional)
Ho1 0.0000 0.0000 0.0000
Ho2 0.3030 0.3030 0.1412
Ho3 0.3142 0.3142 0.6759
Ho4 0.6858 0.6858 0.3241
Ho5 0.6970 0.6970 0.8588
Re1 0.2146 0.7854 0.5000
Re2 0.7854 0.2146 0.5000
O1 0.0014 0.0014 0.2932
O2 0.0872 0.5811 0.4147
O3 0.0981 0.5939 0.9265
O4 0.4061 0.9019 0.0735
O5 0.4189 0.9128 0.5853
O6 0.4991 0.4991 0.3218
O7 0.5009 0.5009 0.6782
O8 0.5811 0.0872 0.4147
O9 0.5939 0.0981 0.9265
O10 0.9019 0.4061 0.0735
O11 0.9128 0.4189 0.5853
O12 0.9986 0.9986 0.7068

***

5.
LaTc2F: optimized geometry, PBE.

Computed properties:
DFT total energy (eV per atom): -6.247
V (Å³ per cell): 69.0
Offset from the most stable computed form (meV per atom): 462

abc: 4.6047 4.6047 4.6047
angles: 60.00 60.00 60.00
Element x y z (fractional)
La1 0.0000 0.0000 0.0000
Tc1 0.2500 0.2500 0.2500
Tc2 0.7500 0.7500 0.7500
F1 0.5000 0.5000 0.5000

***

6.
CoRu: optimized geometry, PBE.

Computed properties:
DFT total energy (eV per atom): -8.078
V (Å³ per cell): 197.6
Calculated formation energy (eV/atom): 0.1133

abc: 9.1184 4.1647 5.2032
angles: 90.00 90.00 90.00
Element x y z (fractional)
Co1 0.0803 0.2500 0.0038
Co2 0.1653 0.7500 0.2440
Co3 0.3347 0.2500 0.7440
Co4 0.4197 0.7500 0.5038
Co5 0.5803 0.2500 0.4962
Co6 0.6653 0.7500 0.2560
Co7 0.8347 0.2500 0.7560
Co8 0.9197 0.7500 0.9962
Ru1 0.0867 0.2500 0.5010
Ru2 0.1692 0.7500 0.7568
Ru3 0.3308 0.2500 0.2568
Ru4 0.4133 0.7500 0.0010
Ru5 0.5867 0.2500 0.9990
Ru6 0.6692 0.7500 0.7432
Ru7 0.8308 0.2500 0.2432
Ru8 0.9133 0.7500 0.4990

***

7.
RbPaPdI6: optimized geometry, PBE.

Computed properties:
DFT total energy (eV per atom): -3.599
V (Å³ per cell): 846.8

abc: 7.4583 7.4583 17.5776
angles: 90.00 90.00 120.00
Element x y z (fractional)
Rb1 0.0000 0.0000 0.0000
Rb2 0.0000 0.0000 0.5000
Pa1 0.3333 0.6667 0.2500
Pa2 0.6667 0.3333 0.7500
Pd1 0.3333 0.6667 0.7500
Pd2 0.6667 0.3333 0.2500
I1 0.0021 0.3499 0.6510
I2 0.0021 0.6521 0.8490
I3 0.3479 0.3499 0.8490
I4 0.3479 0.9979 0.6510
I5 0.3499 0.0021 0.1510
I6 0.3499 0.3479 0.3490
I7 0.6501 0.6521 0.6510
I8 0.6501 0.9979 0.8490
I9 0.6521 0.0021 0.3490
I10 0.6521 0.6501 0.1510
I11 0.9979 0.3479 0.1510
I12 0.9979 0.6501 0.3490

***

8.
NaMgAl2S4: optimized geometry, PBE.

Computed properties:
DFT total energy (eV per atom): -4.368
V (Å³ per cell): 182.1

abc: 7.0341 6.7582 5.7319
angles: 67.98 62.96 49.06
Element x y z (fractional)
Na1 0.0000 0.0000 0.0000
Mg1 0.5141 0.5141 0.4859
Al1 0.2509 0.2509 0.2491
Al2 0.7509 0.7509 0.7491
S1 0.1459 0.6049 0.3951
S2 0.4221 0.9002 0.5779
S3 0.6049 0.1459 0.8541
S4 0.9002 0.4221 0.0998

***

9.
Hg2PtAu: optimized geometry, PBE.

Computed properties:
DFT total energy (eV per atom): -2.328
V (Å³ per cell): 79.5
Offset from the most stable computed form (meV per atom): 111
Calculated formation energy (eV/atom): 0.1523

abc: 10.3763 10.3763 10.3763
angles: 16.59 16.59 16.59
Element x y z (fractional)
Hg1 0.0000 0.0000 0.0000
Hg2 0.2352 0.2352 0.2352
Pt1 0.4908 0.4908 0.4908
Au1 0.7497 0.7497 0.7497

***

10.
Ca2InCl: optimized geometry, PBE.

Computed properties:
DFT total energy (eV per atom): -3.120
V (Å³ per cell): 117.7
Offset from the most stable computed form (meV per atom): 105

abc: 8.9277 8.9277 8.9277
angles: 25.69 25.69 25.69
Element x y z (fractional)
Ca1 0.0000 0.0000 0.0000
Ca2 0.1626 0.1626 0.1626
In1 0.5816 0.5816 0.5816
Cl1 0.7516 0.7516 0.7516

***

11.
YBeAu3: optimized geometry, PBE.

Computed properties:
DFT total energy (eV per atom): -4.425
V (Å³ per cell): 198.5
Offset from the most stable computed form (meV per atom): 146
Calculated formation energy (eV/atom): -0.4209

abc: 8.4779 8.4779 6.5722
angles: 107.53 107.53 26.22
Element x y z (fractional)
Y1 0.1156 0.1156 0.1474
Y2 0.8844 0.8844 0.8526
Be1 0.3791 0.3791 0.4634
Be2 0.6209 0.6209 0.5366
Au1 0.2179 0.2179 0.6139
Au2 0.3148 0.3148 0.0943
Au3 0.4934 0.4934 0.2582
Au4 0.5066 0.5066 0.7418
Au5 0.6852 0.6852 0.9057
Au6 0.7821 0.7821 0.3861

***

12.
PmEu2Tl: optimized geometry, PBE.

Computed properties:
DFT total energy (eV per atom): -7.059
V (Å³ per cell): 138.7
Offset from the most stable computed form (meV per atom): 22
Calculated formation energy (eV/atom): -0.1421

abc: 3.7543 3.7543 9.8375
angles: 90.00 90.00 90.00
Element x y z (fractional)
Pm1 0.0000 0.0000 0.0000
Eu1 0.5000 0.5000 0.2798
Eu2 0.5000 0.5000 0.7202
Tl1 0.0000 0.0000 0.5000

***

Computed ρ (g/cm3) in order:
4.35; 4.04; 9.95; 9.18; 8.51; 10.76; 4.65; 2.09; 16.58; 3.25; 11.53; 7.82